(1)
The following is a GGA-PBE calculation of a relaxed structure of FeIrCl4, from the Alexandria database.

## Properties
The calculation puts the uncorrected formation energy at 1537 meV/atom. As for the volume: 124.1 Å³/cell. The calculation puts the density of states at the Fermi level at 8.40 states/eV/f.u. As for the symmetry: F-43m, No. 216.

Cell lengths 5.598, 5.598, 5.598 Å; angles 60.00, 60.00, 60.00 degrees
Element x y z (fractional)
Fe 0.000 0.000 0.000
Ir 0.750 0.750 0.750
Cl 0.375 0.375 0.375
Cl 0.375 0.375 0.875
Cl 0.375 0.875 0.375
Cl 0.875 0.375 0.375

(2)
The following is a GGA-PBE calculation of a relaxed structure of K2FeIrCl, from the Alexandria database.

## Properties
The calculation puts the uncorrected formation energy at 757 meV/atom. As for the volume: 160.8 Å³/cell. The calculation puts the density of states at the Fermi level at 9.14 states/eV/f.u. As for the symmetry: P4/mmm, No. 123.

Cell lengths 6.032, 6.032, 4.418 Å; angles 90.00, 90.00, 90.00 degrees
Element x y z (fractional)
K 0.000 0.500 0.000
K 0.500 0.000 0.000
Fe 0.000 0.000 0.500
Ir 0.500 0.500 0.500
Cl 0.500 0.500 0.000

(3)
The following is a GGA-PBE calculation of a relaxed structure of La6FeIr2Cl3, from the Alexandria database.

## Properties
The calculation puts the uncorrected formation energy at -1132 meV/atom. As for the volume: 338.0 Å³/cell. The calculation puts the density of states at the Fermi level at 3.92 states/eV/f.u. As for the symmetry: C2/m, No. 12.

Cell lengths 7.153, 7.153, 7.993 Å; angles 98.51, 98.51, 120.06 degrees
Element x y z (fractional)
La 0.067 0.388 0.203
La 0.254 0.254 0.798
La 0.388 0.067 0.203
La 0.612 0.933 0.797
La 0.746 0.746 0.202
La 0.933 0.612 0.797
Fe 0.000 0.000 0.000
Ir 0.333 0.667 0.000
Ir 0.667 0.333 0.000
Cl 0.162 0.838 0.500
Cl 0.500 0.500 0.500
Cl 0.838 0.162 0.500

(4)
The following is a GGA-PBE calculation of a relaxed structure of Mg2FeIrCl, from the Alexandria database.

## Properties
The calculation puts the uncorrected formation energy at 437 meV/atom. As for the volume: 110.7 Å³/cell. The calculation puts the density of states at the Fermi level at 4.97 states/eV/f.u. As for the symmetry: P4/mmm, No. 123.

Cell lengths 5.116, 5.116, 4.230 Å; angles 90.00, 90.00, 90.00 degrees
Element x y z (fractional)
Mg 0.000 0.500 0.000
Mg 0.500 0.000 0.000
Fe 0.000 0.000 0.000
Ir 0.000 0.000 0.500
Cl 0.500 0.500 0.500

(5)
The following is a GGA-PBE calculation of a relaxed structure of MnFeIr2Cl, from the Alexandria database.

## Properties
The calculation puts the uncorrected formation energy at 1243 meV/atom. As for the volume: 79.7 Å³/cell. The calculation puts the density of states at the Fermi level at 8.25 states/eV/f.u. As for the symmetry: P4/mmm, No. 123.

Cell lengths 4.466, 4.466, 3.995 Å; angles 90.00, 90.00, 90.00 degrees
Element x y z (fractional)
Mn 0.000 0.000 0.000
Fe 0.500 0.500 0.000
Ir 0.000 0.500 0.500
Ir 0.500 0.000 0.500
Cl 0.500 0.500 0.500

(6)
The following is a GGA-PBE calculation of a relaxed structure of NbFeIrCl2, from the Alexandria database.

## Properties
The calculation puts the uncorrected formation energy at 1440 meV/atom. As for the volume: 98.3 Å³/cell. The calculation puts the density of states at the Fermi level at 8.55 states/eV/f.u. As for the symmetry: P4/mmm, No. 123.

Cell lengths 4.603, 4.603, 4.641 Å; angles 90.00, 90.00, 90.00 degrees
Element x y z (fractional)
Nb 0.000 0.000 0.000
Fe 0.500 0.500 0.000
Ir 0.500 0.500 0.500
Cl 0.000 0.500 0.500
Cl 0.500 0.000 0.500

> Number 5 is which compound?

MnFeIr2Cl

> Which of these has the highest uncorrected formation energy?

FeIrCl4

> Which of these has the highest uncorrected formation energy?

FeIrCl4